{"formula": "LaV2GeH", "functional": "GGA-PBE", "state": "relaxed", "lattice": [[4.317, 0.000, 0.000], [0.000, 4.317, 0.000], [0.000, 0.000, 4.386]], "species": ["La", "V", "V", "Ge", "H"], "frac_coords": [[0.000, 0.000, 0.000], [0.000, 0.500, 0.500], [0.500, 0.000, 0.500], [0.500, 0.500, 0.000], [0.000, 0.000, 0.500]], "e_tot_ev_per_atom": -6.076}



{"formula": "La2GeHW", "functional": "GGA-PBE", "state": "relaxed", "lattice": [[4.852, 0.000, 0.000], [0.000, 4.852, 0.000], [0.000, 0.000, 4.265]], "species": ["La", "La", "Ge", "H", "W"], "frac_coords": [[0.000, 0.500, 0.000], [0.500, 0.000, 0.000], [0.000, 0.000, 0.500], [0.000, 0.000, 0.000], [0.500, 0.500, 0.500]], "e_tot_ev_per_atom": -5.920}



{"formula": "La2YGeH", "functional": "GGA-PBE", "state": "relaxed", "lattice": [[4.830, 0.000, 0.000], [0.000, 4.830, 0.000], [0.000, 0.000, 4.958]], "species": ["La", "La", "Y", "Ge", "H"], "frac_coords": [[0.000, 0.500, 0.000], [0.500, 0.000, 0.000], [0.000, 0.000, 0.500], [0.500, 0.500, 0.500], [0.000, 0.000, 0.000]], "e_tot_ev_per_atom": -5.277}



{"formula": "La2Y4Ge3H2", "functional": "GGA-PBE", "state": "relaxed", "lattice": [[-2.318, 2.318, 11.975], [2.318, -2.318, 11.975], [2.318, 2.318, -11.975]], "species": ["La", "La", "Y", "Y", "Y", "Y", "Ge", "Ge", "Ge", "H", "H"], "frac_coords": [[0.200, 0.200, 0.000], [0.800, 0.800, 0.000], [0.079, 0.579, 0.500], [0.421, 0.921, 0.500], [0.579, 0.079, 0.500], [0.921, 0.421, 0.500], [0.333, 0.333, 0.000], [0.500, 0.500, 0.000], [0.667, 0.667, 0.000], [0.094, 0.094, 0.000], [0.906, 0.906, 0.000]], "e_tot_ev_per_atom": -5.767}



{"formula": "LaZnGeH", "functional": "GGA-PBE", "state": "relaxed", "lattice": [[4.283, 0.000, 0.000], [-2.141, 3.709, 0.000], [0.000, 0.000, 4.420]], "species": ["La", "Zn", "Ge", "H"], "frac_coords": [[0.000, 0.000, 0.000], [0.333, 0.667, 0.475], [0.667, 0.333, 0.530], [0.333, 0.667, 0.050]], "e_tot_ev_per_atom": -4.220}



{"formula": "LaZn2GeH2", "functional": "GGA-PBE", "state": "relaxed", "lattice": [[6.074, 0.000, 0.000], [0.000, 5.698, 0.000], [-2.872, 0.000, 5.552]], "species": ["La", "La", "Zn", "Zn", "Zn", "Zn", "Ge", "Ge", "H", "H", "H", "H"], "frac_coords": [[0.247, 0.250, 0.025], [0.753, 0.750, 0.975], [0.219, 0.504, 0.476], [0.219, 0.996, 0.476], [0.781, 0.004, 0.524], [0.781, 0.496, 0.524], [0.194, 0.750, 0.813], [0.806, 0.250, 0.187], [0.180, 0.750, 0.275], [0.393, 0.250, 0.465], [0.607, 0.750, 0.535], [0.820, 0.250, 0.725]], "e_tot_ev_per_atom": -3.337}



{"formula": "LaZnGe2H", "functional": "GGA-PBE", "state": "relaxed", "lattice": [[5.359, 0.000, 0.000], [0.000, 5.359, 0.000], [0.000, 0.000, 3.436]], "species": ["La", "Zn", "Ge", "Ge", "H"], "frac_coords": [[0.000, 0.000, 0.000], [0.500, 0.500, 0.500], [0.000, 0.500, 0.500], [0.500, 0.000, 0.500], [0.500, 0.500, 0.000]], "e_tot_ev_per_atom": -3.779}



{"formula": "Li3Ge5H12", "functional": "GGA-PBE", "state": "relaxed", "lattice": [[-6.016, 6.016, 6.016], [6.016, -6.016, 6.016], [6.016, 6.016, -6.016]], "species": ["Li", "Li", "Li", "Li", "Li", "Li", "Li", "Li", "Li", "Li", "Li", "Li", "Ge", "Ge", "Ge", "Ge", "Ge", "Ge", "Ge", "Ge", "Ge", "Ge", "Ge", "Ge", "Ge", "Ge", "Ge", "Ge", "Ge", "Ge", "Ge", "Ge", "H", "H", "H", "H", "H", "H", "H", "H", "H", "H", "H", "H", "H", "H", "H", "H", "H", "H", "H", "H", "H", "H", "H", "H", "H", "H", "H", "H", "H", "H", "H", "H", "H", "H", "H", "H", "H", "H", "H", "H", "H", "H", "H", "H", "H", "H", "H", "H"], "frac_coords": [[0.125, 0.250, 0.375], [0.125, 0.375, 0.750], [0.250, 0.375, 0.125], [0.250, 0.875, 0.625], [0.375, 0.125, 0.250], [0.375, 0.750, 0.125], [0.625, 0.250, 0.875], [0.625, 0.875, 0.750], [0.750, 0.125, 0.375], [0.750, 0.625, 0.875], [0.875, 0.625, 0.250], [0.875, 0.750, 0.625], [0.000, 0.000, 0.000], [0.000, 0.000, 0.500], [0.000, 0.500, 0.000], [0.000, 0.500, 0.500], [0.125, 0.750, 0.875], [0.125, 0.875, 0.250], [0.250, 0.125, 0.875], [0.250, 0.625, 0.375], [0.375, 0.250, 0.625], [0.375, 0.625, 0.750], [0.500, 0.000, 0.000], [0.500, 0.000, 0.500], [0.500, 0.500, 0.000], [0.500, 0.500, 0.500], [0.625, 0.375, 0.250], [0.625, 0.750, 0.375], [0.750, 0.375, 0.625], [0.750, 0.875, 0.125], [0.875, 0.125, 0.750], [0.875, 0.250, 0.125], [0.025, 0.192, 0.079], [0.025, 0.333, 0.946], [0.054, 0.579, 0.387], [0.054, 0.975, 0.667], [0.079, 0.025, 0.192], [0.079, 0.554, 0.887], [0.113, 0.692, 0.667], [0.113, 0.921, 0.446], [0.167, 0.192, 0.613], [0.167, 0.475, 0.554], [0.192, 0.079, 0.025], [0.192, 0.613, 0.167], [0.308, 0.333, 0.887], [0.308, 0.475, 0.421], [0.333, 0.887, 0.308], [0.333, 0.946, 0.025], [0.387, 0.054, 0.579], [0.387, 0.833, 0.808], [0.421, 0.308, 0.475], [0.421, 0.613, 0.946], [0.446, 0.113, 0.921], [0.446, 0.833, 0.525], [0.475, 0.421, 0.308], [0.475, 0.554, 0.167], [0.525, 0.446, 0.833], [0.525, 0.579, 0.692], [0.554, 0.167, 0.475], [0.554, 0.887, 0.079], [0.579, 0.387, 0.054], [0.579, 0.692, 0.525], [0.613, 0.167, 0.192], [0.613, 0.946, 0.421], [0.667, 0.054, 0.975], [0.667, 0.113, 0.692], [0.692, 0.525, 0.579], [0.692, 0.667, 0.113], [0.808, 0.387, 0.833], [0.808, 0.921, 0.975], [0.833, 0.525, 0.446], [0.833, 0.808, 0.387], [0.887, 0.079, 0.554], [0.887, 0.308, 0.333], [0.921, 0.446, 0.113], [0.921, 0.975, 0.808], [0.946, 0.025, 0.333], [0.946, 0.421, 0.613], [0.975, 0.667, 0.054], [0.975, 0.808, 0.921]], "e_tot_ev_per_atom": -3.115}



{"formula": "LiGeH", "functional": "GGA-PBE", "state": "relaxed", "lattice": [[10.734, 0.000, 0.000], [0.000, 3.473, 0.000], [-1.719, 0.000, 4.342]], "species": ["Li", "Li", "Li", "Li", "Ge", "Ge", "Ge", "Ge", "H", "H", "H", "H"], "frac_coords": [[0.103, 0.000, 0.317], [0.397, 0.500, 0.683], [0.603, 0.500, 0.317], [0.897, 0.000, 0.683], [0.150, 0.500, 0.872], [0.350, 0.000, 0.128], [0.650, 0.000, 0.872], [0.850, 0.500, 0.128], [0.186, 0.500, 0.558], [0.314, 0.000, 0.442], [0.686, 0.000, 0.558], [0.814, 0.500, 0.442]], "de_polymorph_ev_per_fu": 0.23, "e_tot_ev_per_atom": -3.374}



{"formula": "Li2GeH6", "functional": "GGA-PBE", "state": "relaxed", "lattice": [[0.000, 3.316, 3.316], [3.316, 0.000, 3.316], [3.316, 3.316, 0.000]], "species": ["Li", "Li", "Ge", "H", "H", "H", "H", "H", "H"], "frac_coords": [[0.250, 0.250, 0.250], [0.750, 0.750, 0.750], [0.000, 0.000, 0.000], [0.256, 0.256, 0.744], [0.256, 0.744, 0.256], [0.256, 0.744, 0.744], [0.744, 0.256, 0.256], [0.744, 0.256, 0.744], [0.744, 0.744, 0.256]], "de_polymorph_ev_per_fu": 1.02, "e_tot_ev_per_atom": -3.044}



{"formula": "LiGeH", "functional": "GGA-PBE", "state": "relaxed", "lattice": [[4.465, 0.000, 0.000], [0.000, 3.912, 0.000], [-2.161, 0.000, 4.815]], "species": ["Li", "Li", "Ge", "Ge", "H", "H"], "frac_coords": [[0.000, 0.000, 0.000], [0.245, 0.500, 0.539], [0.603, 0.500, 0.090], [0.642, 0.000, 0.411], [0.026, 0.000, 0.630], [0.988, 0.500, 0.101]], "de_polymorph_ev_per_fu": 0.08, "e_tot_ev_per_atom": -3.425}



{"formula": "LiGe2H2", "functional": "GGA-PBE", "state": "relaxed", "lattice": [[3.947, 0.000, 0.000], [0.000, 3.947, 0.000], [0.000, 0.000, 8.973]], "species": ["Li", "Li", "Ge", "Ge", "Ge", "Ge", "H", "H", "H", "H"], "frac_coords": [[0.000, 0.000, 0.000], [0.500, 0.500, 0.500], [0.000, 0.000, 0.314], [0.000, 0.000, 0.686], [0.500, 0.500, 0.186], [0.500, 0.500, 0.814], [0.000, 0.500, 0.250], [0.000, 0.500, 0.750], [0.500, 0.000, 0.250], [0.500, 0.000, 0.750]], "de_polymorph_ev_per_fu": 0.11, "e_tot_ev_per_atom": -3.174}



{"formula": "LiGeH", "functional": "GGA-PBE", "state": "relaxed", "lattice": [[3.941, 0.000, 0.000], [0.427, 4.504, 0.000], [0.263, 2.136, 4.868]], "species": ["Li", "Li", "Ge", "Ge", "H", "H"], "frac_coords": [[0.202, 0.137, 0.207], [0.798, 0.863, 0.793], [0.261, 0.334, 0.643], [0.739, 0.666, 0.357], [0.230, 0.528, 0.842], [0.770, 0.472, 0.158]], "de_polymorph_ev_per_fu": 0.10, "e_tot_ev_per_atom": -3.417}



{"formula": "Li2GeH4", "functional": "GGA-PBE", "state": "relaxed", "lattice": [[4.968, 0.000, 0.000], [0.000, 4.968, 0.000], [0.000, 0.000, 5.498]], "species": ["Li", "Li", "Li", "Li", "Ge", "Ge", "H", "H", "H", "H", "H", "H", "H", "H"], "frac_coords": [[0.000, 0.500, 0.250], [0.000, 0.500, 0.750], [0.500, 0.000, 0.250], [0.500, 0.000, 0.750], [0.000, 0.000, 0.000], [0.500, 0.500, 0.500], [0.231, 0.231, 0.626], [0.231, 0.769, 0.374], [0.269, 0.269, 0.126], [0.269, 0.731, 0.874], [0.731, 0.269, 0.874], [0.731, 0.731, 0.126], [0.769, 0.231, 0.374], [0.769, 0.769, 0.626]], "e_tot_ev_per_atom": -2.945}



{"formula": "Li2GeH2", "functional": "GGA-PBE", "state": "relaxed", "lattice": [[6.255, 0.000, 0.000], [0.000, 6.255, 0.000], [0.000, 0.000, 2.716]], "species": ["Li", "Li", "Li", "Li", "Ge", "Ge", "H", "H", "H", "H"], "frac_coords": [[0.154, 0.346, 0.000], [0.346, 0.846, 0.000], [0.654, 0.154, 0.000], [0.846, 0.654, 0.000], [0.000, 0.000, 0.500], [0.500, 0.500, 0.500], [0.147, 0.647, 0.500], [0.353, 0.147, 0.500], [0.647, 0.853, 0.500], [0.853, 0.353, 0.500]], "de_polymorph_ev_per_fu": 0.03, "e_tot_ev_per_atom": -2.987}



{"formula": "Li2GeH2", "functional": "GGA-PBE", "state": "relaxed", "lattice": [[3.381, 0.000, 0.000], [0.000, 3.381, 0.000], [0.000, 0.000, 9.225]], "species": ["Li", "Li", "Li", "Li", "Ge", "Ge", "H", "H", "H", "H"], "frac_coords": [[0.000, 0.000, 0.174], [0.000, 0.000, 0.826], [0.500, 0.500, 0.326], [0.500, 0.500, 0.674], [0.000, 0.000, 0.500], [0.500, 0.500, 0.000], [0.000, 0.500, 0.250], [0.000, 0.500, 0.750], [0.500, 0.000, 0.250], [0.500, 0.000, 0.750]], "de_polymorph_ev_per_fu": 0.00, "e_tot_ev_per_atom": -2.993}



{"formula": "Li2GeH2", "functional": "GGA-PBE", "state": "relaxed", "lattice": [[7.052, 0.000, 0.000], [0.000, 7.052, 0.000], [0.000, 0.000, 2.793]], "species": ["Li", "Li", "Li", "Li", "Ge", "Ge", "H", "H", "H", "H"], "frac_coords": [[0.197, 0.303, 0.000], [0.303, 0.803, 0.000], [0.697, 0.197, 0.000], [0.803, 0.697, 0.000], [0.000, 0.000, 0.000], [0.500, 0.500, 0.000], [0.039, 0.539, 0.500], [0.461, 0.039, 0.500], [0.539, 0.961, 0.500], [0.961, 0.461, 0.500]], "de_polymorph_ev_per_fu": 0.07, "e_tot_ev_per_atom": -2.980}



{"formula": "LiGeH4", "functional": "GGA-PBE", "state": "relaxed", "lattice": [[-3.234, 3.234, 2.764], [3.234, -3.234, 2.764], [3.234, 3.234, -2.764]], "species": ["Li", "Li", "Ge", "Ge", "H", "H", "H", "H", "H", "H", "H", "H"], "frac_coords": [[0.000, 0.000, 0.000], [0.750, 0.250, 0.500], [0.252, 0.752, 0.500], [0.502, 0.502, 0.000], [0.037, 0.354, 0.317], [0.037, 0.721, 0.683], [0.104, 0.287, 0.817], [0.471, 0.287, 0.183], [0.499, 0.231, 0.732], [0.499, 0.768, 0.268], [0.518, 0.749, 0.768], [0.981, 0.749, 0.232]], "e_tot_ev_per_atom": -3.225}



{"formula": "LiGeH", "functional": "GGA-PBE", "state": "relaxed", "lattice": [[2.831, 0.000, 0.000], [0.000, 3.036, 0.000], [0.000, 0.000, 4.294]], "species": ["Li", "Ge", "H"], "frac_coords": [[0.000, 0.000, 0.000], [0.500, 0.500, 0.485], [0.500, 0.500, 0.897]], "de_polymorph_ev_per_fu": 0.28, "e_tot_ev_per_atom": -3.356}



{"formula": "LiGeH", "functional": "GGA-PBE", "state": "relaxed", "lattice": [[4.530, 0.000, 0.000], [0.000, 11.135, 0.000], [0.000, 0.000, 3.135]], "species": ["Li", "Li", "Li", "Li", "Ge", "Ge", "Ge", "Ge", "H", "H", "H", "H"], "frac_coords": [[0.151, 0.152, 0.000], [0.349, 0.652, 0.500], [0.651, 0.348, 0.500], [0.849, 0.848, 0.000], [0.189, 0.417, 0.000], [0.311, 0.917, 0.500], [0.689, 0.083, 0.500], [0.811, 0.583, 0.000], [0.073, 0.688, 0.000], [0.427, 0.188, 0.500], [0.573, 0.812, 0.500], [0.927, 0.312, 0.000]], "de_polymorph_ev_per_fu": 0.06, "e_tot_ev_per_atom": -3.429}



{"formula": "LiGe2H", "functional": "GGA-PBE", "state": "relaxed", "lattice": [[4.936, 0.000, 0.000], [0.000, 4.936, 0.000], [0.000, 0.000, 11.595]], "species": ["Li", "Li", "Li", "Li", "Ge", "Ge", "Ge", "Ge", "Ge", "Ge", "Ge", "Ge", "H", "H", "H", "H"], "frac_coords": [[0.000, 0.000, 0.000], [0.000, 0.500, 0.250], [0.500, 0.000, 0.750], [0.500, 0.500, 0.500], [0.089, 0.250, 0.625], [0.250, 0.589, 0.875], [0.250, 0.911, 0.375], [0.411, 0.250, 0.125], [0.589, 0.750, 0.125], [0.750, 0.089, 0.375], [0.750, 0.411, 0.875], [0.911, 0.750, 0.625], [0.000, 0.000, 0.500], [0.000, 0.500, 0.750], [0.500, 0.000, 0.250], [0.500, 0.500, 0.000]], "de_polymorph_ev_per_fu": 0.00, "e_tot_ev_per_atom": -3.329}



{"formula": "LiGeH", "functional": "GGA-PBE", "state": "relaxed", "lattice": [[2.879, 0.000, 0.000], [0.000, 2.879, 0.000], [0.000, 0.000, 9.425]], "species": ["Li", "Li", "Ge", "Ge", "H", "H"], "frac_coords": [[0.000, 0.000, 0.000], [0.500, 0.500, 0.500], [0.000, 0.000, 0.708], [0.500, 0.500, 0.208], [0.000, 0.000, 0.517], [0.500, 0.500, 0.017]], "de_polymorph_ev_per_fu": 0.34, "e_tot_ev_per_atom": -3.336}